[1]
The following is a PBE calculation of an optimized crystal structure of Tb2TmCo, from Alexandria.

Energy of formation, meV/atom: -163
SG: No. 62

Cell lengths 6.9391, 9.4641, 6.1679 Å; angles 90.00, 90.00, 90.00 degrees
Element x y z (fractional)
Tb1 0.1764 0.0681 0.1768
Tb2 0.1764 0.4319 0.1768
Tb3 0.3236 0.5681 0.6768
Tb4 0.3236 0.9319 0.6768
Tb5 0.6764 0.0681 0.3232
Tb6 0.6764 0.4319 0.3232
Tb7 0.8236 0.5681 0.8232
Tb8 0.8236 0.9319 0.8232
Tm1 0.0429 0.2500 0.6456
Tm2 0.4571 0.7500 0.1456
Tm3 0.5429 0.2500 0.8544
Tm4 0.9571 0.7500 0.3544
Co1 0.1138 0.7500 0.9534
Co2 0.3862 0.2500 0.4534
Co3 0.6138 0.7500 0.5466
Co4 0.8862 0.2500 0.0466


[2]
The following is a PBE calculation of an optimized crystal structure of NbAlIn3, from Alexandria.

Energy of formation, meV/atom: 1026
SG: No. 221

Cell lengths 5.1956, 5.1956, 5.1956 Å; angles 90.00, 90.00, 90.00 degrees
Element x y z (fractional)
Nb1 0.0000 0.0000 0.0000
Al1 0.5000 0.5000 0.5000
In1 0.0000 0.5000 0.5000
In2 0.5000 0.0000 0.5000
In3 0.5000 0.5000 0.0000